Record 1
Here is an optimized crystal structure of Sm6HgIr2 from Alexandria. Energies are from PBE.

energy above the most stable polymorph in this dataset = 0.00 eV/f.u.
M_tot = 0.000 μB per atom
crystal system = orthorhombic
energy of formation = -0.514 eV per atom
space-group type = Immm, No. 71

POSCAR file:
```
Sm6HgIr2
1.0
-6.001 3.044 -5.457
8.108 1.080 -2.854
-0.845 -8.566 0.981
Sm Hg Ir
12 2 4
Direct
0.535 0.715 0.820
0.465 0.285 0.180
0.105 0.285 0.820
0.895 0.715 0.180
0.799 0.763 0.562
0.201 0.237 0.438
0.201 0.763 0.964
0.799 0.237 0.036
0.691 0.361 0.670
0.309 0.639 0.330
0.309 0.978 0.670
0.691 0.022 0.330
0.000 0.500 0.500
0.000 0.000 0.000
0.500 0.371 0.871
0.500 0.629 0.129
0.665 0.000 0.665
0.335 0.000 0.335
```



Record 2
Here is an optimized crystal structure of K3Rb3Na4Hg2 from Alexandria. Energies are from PBE.

M_tot = 0.000 μB per atom
crystal system = orthorhombic
energy of formation = -0.029 eV per atom
space-group type = Imm2, No. 44

POSCAR file:
```
K3Rb3Na4Hg2
1.0
-2.049 -5.674 0.012
6.228 -2.251 -0.736
-0.239 3.332 17.955
K Rb Na Hg
3 3 4 2
Direct
0.997 0.000 0.000
0.104 0.603 0.206
0.898 0.397 0.794
0.497 0.500 0.000
0.300 0.299 0.598
0.702 0.701 0.402
0.400 0.894 0.787
0.183 0.182 0.363
0.820 0.818 0.637
0.613 0.106 0.213
0.103 0.095 0.190
0.912 0.905 0.810
```